Crystalline K2ThH6 at its relaxed geometry, computed with PBE.

The structure belongs to space group Fm-3m (No. 225); the cell edges are 9.2245, 9.2245 and 9.2245 Å and the angles 90.00°, 90.00° and 90.00°. The distinct sites, in fractional coordinates, are K at (0.2500, 0.2500, 0.2500), Th at (0.0000, 0.0000, 0.0000) and H at (0.0000, 0.0000, 0.2423).

The total energy comes out at -28.804 eV per formula unit.

=====

Crystalline KTh2H at its relaxed geometry, computed with PBE.

The structure belongs to space group R-3m (No. 166, hexagonal axes); the cell edges are 3.5057, 3.5057 and 32.5338 Å and the angles 90.00°, 90.00° and 120.00°. The distinct sites, in fractional coordinates, are K at (0.0000, 0.0000, 0.0000), Th at (0.0000, 0.0000, 0.1184) and H at (0.0000, 0.0000, 0.5000).

The total energy comes out at -18.562 eV per formula unit.

=====

Crystalline KTiH at its relaxed geometry, computed with PBE.

The structure belongs to space group Amm2 (No. 38); the cell edges are 12.5885, 3.1653 and 5.4866 Å and the angles 90.00°, 90.00° and 90.00°. The distinct sites, in fractional coordinates, are K at (0.1422, 0.0000, 0.0000), Ti at (0.3983, 0.0000, 0.6733), H at (0.0000, 0.0000, 0.6667) and H at (0.5000, 0.0000, 0.0066).

The total energy comes out at -11.113 eV per formula unit.

=====

Crystalline K2TiH at its relaxed geometry, computed with PBE.

The structure belongs to space group I-42d (No. 122); the cell edges are 12.5173, 12.5173 and 3.7395 Å and the angles 90.00°, 90.00° and 90.00°. The distinct sites, in fractional coordinates, are K at (0.0839, 0.2500, 0.1250), Ti at (0.0000, 0.0000, 0.5000) and H at (0.0000, 0.0000, 0.0000).

The total energy comes out at -11.065 eV per formula unit.